(1)
A plane-wave DFT calculation with PBE was carried out for a geometry-optimized CaCd2InPb structure.

Unit cell a=3.709 b=7.283 c=10.694 alpha=90.00 beta=90.00 gamma=104.75
Atoms (fractional coordinates):
Cd: 0.798 0.595 0.091
Cd: 0.798 0.595 0.409
Cd: 0.202 0.405 0.591
Cd: 0.202 0.405 0.909
In: 0.000 0.000 0.000
In: 0.000 0.000 0.500
Pb: 0.157 0.314 0.250
Pb: 0.843 0.686 0.750
Ca: 0.452 0.904 0.250
Ca: 0.548 0.096 0.750

Computed properties:
Symmetry   Cmcm, No. 63
Total magnetization   0.00 Bohr magnetons per cell
ΔE_f   -0.159 eV per atom
DFT total energy   -22.148 eV/cell

(2)
A plane-wave DFT calculation with PBE was carried out for a geometry-optimized Ti3BiSe structure.

Unit cell a=4.757 b=4.757 c=4.757 alpha=90.00 beta=90.00 gamma=90.00
Atoms (fractional coordinates):
Ti: 0.500 0.000 0.000
Ti: 0.000 0.500 0.000
Ti: 0.000 0.000 0.500
Se: 0.000 0.000 0.000
Bi: 0.500 0.500 0.500

Computed properties:
E above lowest polymorph   33.6 kJ/mol of atoms
Symmetry   Pm-3m, No. 221
Total magnetization   1.95 Bohr magnetons per cell
Formation energy (no corrections)   -0.020 eV per atom
DFT total energy   -31.153 eV/cell

(3)
A plane-wave DFT calculation with PBE was carried out for a geometry-optimized K2SnRh2 structure.

Unit cell a=6.711 b=6.711 c=5.608 alpha=90.00 beta=90.00 gamma=90.00
Atoms (fractional coordinates):
Rh: 0.633 0.133 0.000
Rh: 0.867 0.633 0.000
Rh: 0.133 0.367 0.000
Rh: 0.367 0.867 0.000
K: 0.827 0.327 0.500
K: 0.673 0.827 0.500
K: 0.327 0.173 0.500
K: 0.173 0.673 0.500
Sn: 0.500 0.500 0.000
Sn: 0.000 0.000 0.000

Computed properties:
Symmetry   P4/mbm, No. 127
Total magnetization   0.00 Bohr magnetons per cell
ΔE_f   0.031 eV per atom
DFT total energy   -41.487 eV/cell

(4)
A plane-wave DFT calculation with PBE was carried out for a geometry-optimized ZnAs2Br structure.

Unit cell a=7.436 b=3.735 c=3.735 alpha=90.00 beta=90.00 gamma=90.00
Atoms (fractional coordinates):
As: 0.000 0.500 0.500
As: 0.000 0.000 0.000
Zn: 0.500 0.000 0.500
Br: 0.500 0.500 0.000

Computed properties:
E above lowest polymorph   36.5 kJ/mol of atoms
Symmetry   P4/mmm, No. 123
Total magnetization   0.00 Bohr magnetons per cell
Formation energy (no corrections)   0.207 eV per atom
DFT total energy   -11.417 eV/cell

(5)
A plane-wave DFT calculation with PBE was carried out for a geometry-optimized RbMgCd17 structure.

Unit cell a=7.863 b=7.863 c=7.863 alpha=81.52 beta=81.52 gamma=81.52
Atoms (fractional coordinates):
Cd: 0.709 0.295 0.004
Cd: 0.576 0.242 0.576
Cd: 0.242 0.576 0.576
Cd: 0.893 0.354 0.354
Cd: 0.004 0.709 0.295
Cd: 0.108 0.108 0.108
Cd: 0.531 0.980 0.980
Cd: 0.295 0.709 0.004
Cd: 0.709 0.004 0.295
Cd: 0.354 0.354 0.893
Cd: 0.295 0.004 0.709
Cd: 0.576 0.576 0.242
Cd: 0.980 0.980 0.531
Cd: 0.354 0.893 0.354
Cd: 0.004 0.295 0.709
Cd: 0.914 0.914 0.914
Cd: 0.980 0.531 0.980
Mg: 0.305 0.305 0.305
Rb: 0.670 0.670 0.670

Computed properties:
Symmetry   R3m, No. 160
Total magnetization   0.00 Bohr magnetons per cell
ΔE_f   0.002 eV per atom
DFT total energy   -18.074 eV/cell

(6)
A plane-wave DFT calculation with PBE was carried out for a geometry-optimized Hg2POs structure.

Unit cell a=7.689 b=7.689 c=7.689 alpha=158.22 beta=151.54 gamma=36.13
Atoms (fractional coordinates):
Os: 0.500 0.000 0.500
P: 0.000 0.500 0.500
Hg: 0.681 0.681 0.000
Hg: 0.319 0.319 0.000

Computed properties:
Symmetry   Immm, No. 71
Total magnetization   0.00 Bohr magnetons per cell
ΔE_f   0.357 eV per atom
DFT total energy   -15.817 eV/cell

(7)
A plane-wave DFT calculation with PBE was carried out for a geometry-optimized KP2I structure.

Unit cell a=5.241 b=5.241 c=5.241 alpha=60.00 beta=60.00 gamma=60.00
Atoms (fractional coordinates):
P: 0.750 0.750 0.750
P: 0.250 0.250 0.250
K: 0.000 0.000 0.000
I: 0.500 0.500 0.500

Computed properties:
E above lowest polymorph   23.1 kJ/mol of atoms
Symmetry   Fm-3m, No. 225
Total magnetization   0.00 Bohr magnetons per cell
Formation energy (no corrections)   0.835 eV per atom
DFT total energy   -10.127 eV/cell

(8)
A plane-wave DFT calculation with PBE was carried out for a geometry-optimized AlCuP2S structure.

Unit cell a=4.432 b=4.432 c=4.697 alpha=90.00 beta=90.00 gamma=90.00
Atoms (fractional coordinates):
P: 0.000 0.500 0.000
P: 0.500 0.000 0.000
Al: 0.500 0.500 0.500
Cu: 0.000 0.000 0.000
S: 0.000 0.000 0.500

Computed properties:
E above lowest polymorph   0.0 kJ/mol of atoms
Symmetry   P4/mmm, No. 123
Total magnetization   0.00 Bohr magnetons per cell
Formation energy (no corrections)   0.754 eV per atom
DFT total energy   -19.015 eV/cell

(9)
A plane-wave DFT calculation with PBE was carried out for a geometry-optimized CaGeHSe structure.

Unit cell a=3.794 b=4.360 c=5.832 alpha=108.95 beta=109.01 gamma=89.97
Atoms (fractional coordinates):
Se: 0.314 0.094 0.432
H: 0.517 0.804 0.847
Ca: 0.863 0.631 0.533
Ge: 0.553 0.207 0.917

Computed properties:
E above lowest polymorph   0.0 kJ/mol of atoms
Symmetry   P1, No. 1
Total magnetization   0.00 Bohr magnetons per cell
DFT total energy   -15.954 eV/cell

(10)
A plane-wave DFT calculation with PBE was carried out for a geometry-optimized TlSnPbAu structure.

Unit cell a=3.465 b=3.465 c=8.873 alpha=89.97 beta=90.03 gamma=90.01
Atoms (fractional coordinates):
Sn: 0.646 0.354 0.430
Au: 0.146 0.854 0.241
Tl: 0.645 0.355 0.009
Pb: 0.147 0.853 0.708

Computed properties:
E above lowest polymorph   0.0 kJ/mol of atoms
Symmetry   Cm, No. 8
Total magnetization   0.00 Bohr magnetons per cell
ΔE_f   -0.015 eV per atom
DFT total energy   -13.413 eV/cell

(11)
A plane-wave DFT calculation with PBE was carried out for a geometry-optimized TlCuSbI2 structure.

Unit cell a=5.798 b=5.798 c=4.961 alpha=90.00 beta=90.00 gamma=90.00
Atoms (fractional coordinates):
Cu: 0.000 0.000 0.000
I: 0.500 0.000 0.000
I: 0.000 0.500 0.000
Sb: 0.000 0.000 0.500
Tl: 0.500 0.500 0.500

Computed properties:
E above lowest polymorph   0.0 kJ/mol of atoms
Symmetry   P4/mmm, No. 123
Total magnetization   0.19 Bohr magnetons per cell
Formation energy (no corrections)   0.074 eV per atom
DFT total energy   -13.314 eV/cell

(12)
A plane-wave DFT calculation with PBE was carried out for a geometry-optimized Ce5Bi4O structure.

Unit cell a=6.475 b=7.672 c=7.672 alpha=79.74 beta=65.04 gamma=65.04
Atoms (fractional coordinates):
O: 0.072 0.000 0.000
Bi: 0.810 0.779 0.609
Bi: 0.589 0.609 0.221
Bi: 0.420 0.391 0.779
Bi: 0.198 0.221 0.391
Ce: 0.736 0.171 0.362
Ce: 0.409 0.000 0.000
Ce: 0.098 0.638 0.171
Ce: 0.270 0.829 0.638
Ce: 0.907 0.362 0.829

Computed properties:
Symmetry   I4, No. 79
Total magnetization   5.27 Bohr magnetons per cell
Formation energy (no corrections)   -1.025 eV per atom
DFT total energy   -60.405 eV/cell

Repeat the second record exactly.
A plane-wave DFT calculation with PBE was carried out for a geometry-optimized Ti3BiSe structure.

Unit cell a=4.757 b=4.757 c=4.757 alpha=90.00 beta=90.00 gamma=90.00
Atoms (fractional coordinates):
Ti: 0.500 0.000 0.000
Ti: 0.000 0.500 0.000
Ti: 0.000 0.000 0.500
Se: 0.000 0.000 0.000
Bi: 0.500 0.500 0.500

Computed properties:
E above lowest polymorph   33.6 kJ/mol of atoms
Symmetry   Pm-3m, No. 221
Total magnetization   1.95 Bohr magnetons per cell
Formation energy (no corrections)   -0.020 eV per atom
DFT total energy   -31.153 eV/cell

Which formula does entry 12 have?
Ce5Bi4O

What is the formula in the twelfth record?
Ce5Bi4O